Entry 1:
# KTl2Te, relaxed, DFT PBE-GGA
data_KTl2Te
_chemical_formula_sum 'K1 Tl2 Te1'
_space_group_name_H-M_alt 'P m m m'
_space_group_IT_number 47
_cell_length_a 4.9596
_cell_length_b 5.0569
_cell_length_c 5.3821
_cell_angle_alpha 90.00
_cell_angle_beta 90.00
_cell_angle_gamma 90.00
loop_
_space_group_symop_operation_xyz
'x,y,z'
'-x,-y,-z'
'-x,-y,z'
'x,y,-z'
'x,-y,-z'
'-x,y,z'
'-x,y,-z'
'x,-y,z'
loop_
_atom_site_label
_atom_site_type_symbol
_atom_site_fract_x
_atom_site_fract_y
_atom_site_fract_z
K1 K 0.0000 0.0000 0.0000
Tl1 Tl 0.0000 0.5000 0.5000
Tl2 Tl 0.5000 0.0000 0.5000
Te1 Te 0.5000 0.5000 0.0000
# Total energy, eV per atom: -2.66
# ΔE_f (raw), eV/f.u.: -1.66
# Fermi-level density of states, states/eV per cell: 1.60
# Calculated density, g/cm3: 7.079

Entry 2:
# TmTiCoPd, relaxed, DFT PBE-GGA
data_TmTiCoPd
_chemical_formula_sum 'Tm4 Ti4 Co4 Pd4'
_space_group_name_H-M_alt 'F -4 3 m'
_space_group_IT_number 216
_space_group_name_Hall 'F -4 2 3'
_cell_length_a 6.4802
_cell_length_b 6.4802
_cell_length_c 6.4802
_cell_angle_alpha 90.00
_cell_angle_beta 90.00
_cell_angle_gamma 90.00
loop_
_atom_site_label
_atom_site_type_symbol
_atom_site_fract_x
_atom_site_fract_y
_atom_site_fract_z
Tm1 Tm 0.0000 0.0000 0.0000
Ti1 Ti 0.0000 0.0000 0.5000
Co1 Co 0.2500 0.2500 0.7500
Pd1 Pd 0.2500 0.2500 0.2500
# Energy relative to the elements, eV/atom: -0.375
# Total energy, eV per atom: -6.54
# Fermi-level density of states, states/eV per cell: 16.36
# Calculated density, g/cm3: 9.328

Entry 3:
# ScZnCdGa, relaxed, DFT PBE-GGA
data_ScZnCdGa
_chemical_formula_sum 'Sc1 Zn1 Cd1 Ga1'
_space_group_name_H-M_alt 'P m m m'
_space_group_IT_number 47
_cell_length_a 3.9383
_cell_length_b 4.2861
_cell_length_c 4.4300
_cell_angle_alpha 90.00
_cell_angle_beta 90.00
_cell_angle_gamma 90.00
loop_
_space_group_symop_operation_xyz
'x,y,z'
'-x,-y,-z'
'-x,-y,z'
'x,y,-z'
'x,-y,-z'
'-x,y,z'
'-x,y,-z'
'x,-y,z'
loop_
_atom_site_label
_atom_site_type_symbol
_atom_site_fract_x
_atom_site_fract_y
_atom_site_fract_z
Sc1 Sc 0.0000 0.0000 0.0000
Zn1 Zn 0.5000 0.0000 0.5000
Cd1 Cd 0.0000 0.5000 0.5000
Ga1 Ga 0.5000 0.5000 0.0000
# Energy relative to the elements, eV/atom: -0.322
# Total energy, eV per atom: -3.21
# Fermi-level density of states, states/eV per cell: 1.89
# Calculated density, g/cm3: 6.495

Entry 4:
# Pm2HfGa3Ir4, relaxed, DFT PBE-GGA
data_Pm2HfGa3Ir4
_chemical_formula_sum 'Pm2 Hf1 Ga3 Ir4'
_space_group_name_H-M_alt 'P -4 m 2'
_space_group_IT_number 115
_cell_length_a 4.2206
_cell_length_b 4.2206
_cell_length_c 10.9507
_cell_angle_alpha 90.00
_cell_angle_beta 90.00
_cell_angle_gamma 90.00
loop_
_space_group_symop_operation_xyz
'x,y,z'
'y,-x,-z'
'-x,-y,z'
'-y,x,-z'
'-x,y,z'
'-y,-x,-z'
'x,-y,z'
'y,x,-z'
loop_
_atom_site_label
_atom_site_type_symbol
_atom_site_fract_x
_atom_site_fract_y
_atom_site_fract_z
Pm1 Pm 0.0000 0.5000 0.2255
Hf1 Hf 0.0000 0.0000 0.5000
Ga1 Ga 0.0000 0.5000 0.8768
Ga2 Ga 0.5000 0.5000 0.5000
Ir1 Ir 0.0000 0.0000 0.0000
Ir2 Ir 0.0000 0.5000 0.6457
Ir3 Ir 0.5000 0.5000 0.0000
# Energy relative to the elements, eV/atom: -0.757
# Total energy, eV per atom: -7.16
# Fermi-level density of states, states/eV per cell: 6.04
# Calculated density, g/cm3: 12.314

Entry 5:
# LiP2H8, relaxed, DFT PBE-GGA
data_LiP2H8
_chemical_formula_sum 'Li4 P8 H32'
_space_group_name_H-M_alt 'C 1 2/c 1'
_space_group_IT_number 15
_cell_length_a 10.7299
_cell_length_b 5.2855
_cell_length_c 10.6329
_cell_angle_alpha 90.00
_cell_angle_beta 102.40
_cell_angle_gamma 90.00
loop_
_space_group_symop_operation_xyz
'x,y,z'
'-x,-y,-z'
'-x,y,-z+1/2'
'x,-y,z+1/2'
'x+1/2,y+1/2,z'
'-x+1/2,-y+1/2,-z'
'-x+1/2,y+1/2,-z+1/2'
'x+1/2,-y+1/2,z+1/2'
loop_
_atom_site_label
_atom_site_type_symbol
_atom_site_fract_x
_atom_site_fract_y
_atom_site_fract_z
Li1 Li 0.0000 0.0149 0.2500
P1 P 0.1299 0.1030 0.5925
H1 H 0.0181 0.3667 0.2858
H2 H 0.1705 0.0519 0.7350
H3 H 0.1775 0.1372 0.0644
H4 H 0.2483 0.2657 0.3901
# Total energy, eV per atom: -3.55
# Fermi-level density of states, states/eV per cell: 6.40
# Calculated density, g/cm3: 0.868

Entry 6:
# MnCr2Rh, relaxed, DFT PBE-GGA
data_MnCr2Rh
_chemical_formula_sum 'Mn3 Cr6 Rh3'
_space_group_name_H-M_alt 'R -3 m'
_space_group_IT_number 166
_space_group_name_Hall '-R 3 2"'
_cell_length_a 2.6138
_cell_length_b 2.6138
_cell_length_c 24.7945
_cell_angle_alpha 90.00
_cell_angle_beta 90.00
_cell_angle_gamma 120.00
loop_
_atom_site_label
_atom_site_type_symbol
_atom_site_fract_x
_atom_site_fract_y
_atom_site_fract_z
Mn1 Mn 0.0000 0.0000 0.0000
Cr1 Cr 0.0000 0.0000 0.2537
Rh1 Rh 0.0000 0.0000 0.5000
# Energy relative to the elements, eV/atom: 0.176
# Total energy, eV per atom: -8.77
# Fermi-level density of states, states/eV per cell: 25.01
# Calculated density, g/cm3: 8.891

Entry 7:
# Cu2RuBr, relaxed, DFT PBE-GGA
data_Cu2RuBr
_chemical_formula_sum 'Cu4 Ru2 Br2'
_space_group_name_H-M_alt 'I m m 2'
_space_group_IT_number 44
_cell_length_a 2.9246
_cell_length_b 3.9699
_cell_length_c 12.1995
_cell_angle_alpha 90.00
_cell_angle_beta 90.00
_cell_angle_gamma 90.00
loop_
_space_group_symop_operation_xyz
'x,y,z'
'-x,-y,z'
'-x,y,z'
'x,-y,z'
'x+1/2,y+1/2,z+1/2'
'-x+1/2,-y+1/2,z+1/2'
'-x+1/2,y+1/2,z+1/2'
'x+1/2,-y+1/2,z+1/2'
loop_
_atom_site_label
_atom_site_type_symbol
_atom_site_fract_x
_atom_site_fract_y
_atom_site_fract_z
Cu1 Cu 0.0000 0.0000 0.0000
Cu2 Cu 0.0000 0.5000 0.1191
Ru1 Ru 0.0000 0.5000 0.6767
Br1 Br 0.0000 0.0000 0.3450
# Total energy, eV per atom: -4.29
# ΔE_f (raw), eV/f.u.: 1.98
# Fermi-level density of states, states/eV per cell: 10.15
# Calculated density, g/cm3: 7.223

Entry 8:
# KTlGa2Co, relaxed, DFT PBE-GGA
data_KTlGa2Co
_chemical_formula_sum 'K1 Tl1 Ga2 Co1'
_space_group_name_H-M_alt 'P 4/m m m'
_space_group_IT_number 123
_space_group_name_Hall '-P 4 2'
_cell_length_a 4.7364
_cell_length_b 4.7364
_cell_length_c 5.1269
_cell_angle_alpha 90.00
_cell_angle_beta 90.00
_cell_angle_gamma 90.00
loop_
_atom_site_label
_atom_site_type_symbol
_atom_site_fract_x
_atom_site_fract_y
_atom_site_fract_z
K1 K 0.0000 0.0000 0.0000
Tl1 Tl 0.5000 0.5000 0.0000
Ga1 Ga 0.0000 0.5000 0.5000
Co1 Co 0.5000 0.5000 0.5000
# Energy relative to the elements, eV/atom: -0.048
# Total energy, eV per atom: -3.37
# Fermi-level density of states, states/eV per cell: 3.43
# Calculated density, g/cm3: 6.379

Entry 9:
# LaEr2Cd, relaxed, DFT PBE-GGA
data_LaEr2Cd
_chemical_formula_sum 'La2 Er4 Cd2'
_space_group_name_H-M_alt 'I m m m'
_space_group_IT_number 71
_space_group_name_Hall '-I 2 2'
_cell_length_a 3.7859
_cell_length_b 5.5992
_cell_length_c 11.4841
_cell_angle_alpha 90.00
_cell_angle_beta 90.00
_cell_angle_gamma 90.00
loop_
_atom_site_label
_atom_site_type_symbol
_atom_site_fract_x
_atom_site_fract_y
_atom_site_fract_z
La1 La 0.0000 0.0000 0.0000
Er1 Er 0.0000 0.5000 0.2231
Cd1 Cd 0.0000 0.0000 0.5000
# Energy relative to the elements, eV/atom: -0.144
# Total energy, eV per atom: -3.89
# Fermi-level density of states, states/eV per cell: 9.70
# Calculated density, g/cm3: 7.992

Entry 10:
# CeNdLu, relaxed, DFT PBE-GGA
data_CeNdLu
_chemical_formula_sum 'Ce2 Nd2 Lu2'
_space_group_name_H-M_alt 'I 4 m m'
_space_group_IT_number 107
_space_group_name_Hall 'I 4 -2'
_cell_length_a 3.5439
_cell_length_b 3.5439
_cell_length_c 14.8466
_cell_angle_alpha 90.00
_cell_angle_beta 90.00
_cell_angle_gamma 90.00
loop_
_atom_site_label
_atom_site_type_symbol
_atom_site_fract_x
_atom_site_fract_y
_atom_site_fract_z
Ce1 Ce 0.0000 0.0000 0.0000
Nd1 Nd 0.0000 0.0000 0.6653
Lu1 Lu 0.0000 0.0000 0.3426
# Energy relative to the elements, eV/atom: 0.082
# Total energy, eV per atom: -4.99
# Fermi-level density of states, states/eV per cell: 12.77
# Calculated density, g/cm3: 8.181

Entry 11:
# Y2Tm2Te3, relaxed, DFT PBE-GGA
data_Y2Tm2Te3
_chemical_formula_sum 'Y4 Tm4 Te6'
_space_group_name_H-M_alt 'C 1 2/m 1'
_space_group_IT_number 12
_cell_length_a 14.1093
_cell_length_b 4.1424
_cell_length_c 7.3067
_cell_angle_alpha 90.00
_cell_angle_beta 101.77
_cell_angle_gamma 90.00
loop_
_space_group_symop_operation_xyz
'x,y,z'
'-x,-y,-z'
'-x,y,-z'
'x,-y,z'
'x+1/2,y+1/2,z'
'-x+1/2,-y+1/2,-z'
'-x+1/2,y+1/2,-z'
'x+1/2,-y+1/2,z'
loop_
_atom_site_label
_atom_site_type_symbol
_atom_site_fract_x
_atom_site_fract_y
_atom_site_fract_z
Y1 Y 0.1115 0.0000 0.3114
Tm1 Tm 0.1112 0.5000 0.9016
Te1 Te 0.0000 0.5000 0.5000
Te2 Te 0.2320 0.0000 0.7389
# Total energy, eV per atom: -5.49
# ΔE_f (raw), eV/f.u.: -7.16
# Fermi-level density of states, states/eV per cell: 10.03
# Calculated density, g/cm3: 7.137

Entry 12:
# LiZr3Cd, relaxed, DFT PBE-GGA
data_LiZr3Cd
_chemical_formula_sum 'Li1 Zr3 Cd1'
_space_group_name_H-M_alt 'P m -3 m'
_space_group_IT_number 221
_space_group_name_Hall '-P 4 2 3'
_cell_length_a 4.7640
_cell_length_b 4.7640
_cell_length_c 4.7640
_cell_angle_alpha 90.00
_cell_angle_beta 90.00
_cell_angle_gamma 90.00
loop_
_atom_site_label
_atom_site_type_symbol
_atom_site_fract_x
_atom_site_fract_y
_atom_site_fract_z
Li1 Li 0.0000 0.0000 0.0000
Zr1 Zr 0.0000 0.0000 0.5000
Cd1 Cd 0.5000 0.5000 0.5000
# Energy relative to the elements, eV/atom: 0.595
# Total energy, eV per atom: -5.10
# Fermi-level density of states, states/eV per cell: 3.74
# Calculated density, g/cm3: 6.036